Model w:
First-principles (PBE-GGA) data for a geometry-optimized ZrTl2Te structure, as listed in the Alexandria database.

Structure (POSCAR):
```
ZrTl2Te
1.0
1.8675 1.0782 9.6321
-1.8675 1.0782 9.6321
0.0000 -2.1564 9.6321
Zr Tl Te
1 2 1
Direct
0.0000 0.0000 0.0000
0.2556 0.2556 0.2556
0.4989 0.4989 0.4989
0.7321 0.7321 0.7321
```

DOS at the Fermi energy: 3.1 states/eV per cell

Model x:
First-principles (PBE-GGA) data for a geometry-optimized ZrTl2Te structure, as listed in the Alexandria database.

Structure (POSCAR):
```
ZrTl2Te
1.0
3.6355 0.0000 0.0000
0.0000 5.1272 0.0000
0.0000 0.0000 5.7129
Zr Tl Te
1 2 1
Direct
0.0000 0.0000 0.0000
0.0000 0.5000 0.5000
0.5000 0.0000 0.5000
0.5000 0.5000 0.0000
```

DOS at the Fermi energy: 3.8 states/eV per cell

Model y:
First-principles (PBE-GGA) data for a geometry-optimized ZrTl2Te structure, as listed in the Alexandria database.

Structure (POSCAR):
```
ZrTl2Te
1.0
-4.3773 4.3773 3.0005
4.3773 -4.3773 3.0005
4.3773 4.3773 -3.0005
Zr Tl Te
2 4 2
Direct
0.0000 0.0000 0.0000
0.7500 0.2500 0.5000
0.0979 0.6250 0.9729
0.3750 0.3479 0.4729
0.6521 0.1250 0.0271
0.8750 0.9021 0.5271
0.2500 0.7500 0.5000
0.5000 0.5000 0.0000
```

DOS at the Fermi energy: 7.5 states/eV per cell

Short version: model w is the most stable of them.

Model w:
First-principles (PBE-GGA) data for a geometry-optimized ZrTl2Te structure, as listed in the Alexandria database.

Structure (POSCAR):
```
ZrTl2Te
1.0
3.2551 0.0000 0.0000
0.0000 3.2551 0.0000
0.0000 0.0000 10.2725
Zr Tl Te
1 2 1
Direct
0.0000 0.0000 0.0000
0.5000 0.5000 0.2143
0.5000 0.5000 0.7857
0.0000 0.0000 0.5000
```

DOS at the Fermi energy: 4.1 states/eV per cell

Model x:
First-principles (PBE-GGA) data for a geometry-optimized ZrTl2Te structure, as listed in the Alexandria database.

Structure (POSCAR):
```
ZrTl2Te
1.0
-1.8131 2.6895 5.7235
1.8131 -2.6895 5.7235
1.8131 2.6895 -5.7235
Zr Tl Te
1 2 1
Direct
0.0000 0.0000 0.0000
0.4681 0.4681 0.0000
0.7537 0.2537 0.5000
0.1915 0.6915 0.5000
```

DOS at the Fermi energy: 3.1 states/eV per cell

Model y:
First-principles (PBE-GGA) data for a geometry-optimized ZrTl2Te structure, as listed in the Alexandria database.

Structure (POSCAR):
```
ZrTl2Te
1.0
0.0000 3.7630 3.7630
3.7630 0.0000 3.7630
3.7630 3.7630 0.0000
Zr Tl Te
1 2 1
Direct
0.0000 0.0000 0.0000
0.5000 0.5000 0.5000
0.7500 0.7500 0.7500
0.2500 0.2500 0.2500
```

DOS at the Fermi energy: 4.7 states/eV per cell

Short version: model x is the most stable of them.

Model w:
First-principles (PBE-GGA) data for a geometry-optimized ZrTlTe structure, as listed in the Alexandria database.

Structure (POSCAR):
```
ZrTlTe
1.0
0.0000 3.5273 3.5273
3.5273 0.0000 3.5273
3.5273 3.5273 0.0000
Zr Tl Te
1 1 1
Direct
0.0000 0.0000 0.0000
0.7500 0.7500 0.7500
0.2500 0.2500 0.2500
```

DOS at the Fermi energy: 4.6 states/eV per cell

Model x:
First-principles (PBE-GGA) data for a geometry-optimized ZrTlTe structure, as listed in the Alexandria database.

Structure (POSCAR):
```
ZrTlTe
1.0
0.0000 3.5460 3.5460
3.5460 0.0000 3.5460
3.5460 3.5460 0.0000
Zr Tl Te
1 1 1
Direct
0.0000 0.0000 0.0000
0.5000 0.5000 0.5000
0.7500 0.7500 0.7500
```

DOS at the Fermi energy: 3.3 states/eV per cell

Model y:
First-principles (PBE-GGA) data for a geometry-optimized ZrTlTe structure, as listed in the Alexandria database.

Structure (POSCAR):
```
ZrTlTe
1.0
4.4140 0.0000 0.0000
0.0000 4.4140 0.0000
0.0000 0.0000 9.5413
Zr Tl Te
2 2 2
Direct
0.2500 0.7500 0.0000
0.7500 0.2500 0.0000
0.2500 0.2500 0.3362
0.7500 0.7500 0.6638
0.2500 0.2500 0.7871
0.7500 0.7500 0.2129
```

DOS at the Fermi energy: 5.3 states/eV per cell

Model z:
First-principles (PBE-GGA) data for a geometry-optimized ZrTlTe structure, as listed in the Alexandria database.

Structure (POSCAR):
```
ZrTlTe
1.0
3.6921 0.0000 0.0000
-1.8460 3.1974 0.0000
0.0000 0.0000 7.0704
Zr Tl Te
1 1 1
Direct
0.0000 0.0000 0.0000
0.3333 0.6667 0.6729
0.6667 0.3333 0.2690
```

DOS at the Fermi energy: 2.7 states/eV per cell

Short version: model y is the most stable of them.

Model w:
First-principles (PBE-GGA) data for a geometry-optimized ZrTlTe structure, as listed in the Alexandria database.

Structure (POSCAR):
```
ZrTlTe
1.0
4.9410 0.0000 0.0000
-2.4705 4.2791 0.0000
0.0000 0.0000 3.8999
Zr Tl Te
1 1 1
Direct
0.0000 0.0000 0.0000
0.3333 0.6667 0.5000
0.6667 0.3333 0.0000
```

DOS at the Fermi energy: 2.5 states/eV per cell

Model x:
First-principles (PBE-GGA) data for a geometry-optimized ZrTlTe structure, as listed in the Alexandria database.

Structure (POSCAR):
```
ZrTlTe
1.0
0.0000 2.6522 7.6086
2.1103 0.0000 7.6086
2.1103 2.6522 0.0000
Zr Tl Te
1 1 1
Direct
0.0000 0.0000 0.0000
0.6543 0.6543 0.3457
0.3737 0.3737 0.6263
```

DOS at the Fermi energy: 2.2 states/eV per cell

Model y:
First-principles (PBE-GGA) data for a geometry-optimized ZrTlTe structure, as listed in the Alexandria database.

Structure (POSCAR):
```
ZrTlTe
1.0
-1.8548 1.8548 5.6528
1.8548 -1.8548 5.6528
1.8548 1.8548 -5.6528
Zr Tl Te
1 1 1
Direct
0.0000 0.0000 0.0000
0.6801 0.6801 0.0000
0.3844 0.3844 0.0000
```

DOS at the Fermi energy: 2.5 states/eV per cell

Short version: model y is the most stable of them.

Model w:
First-principles (PBE-GGA) data for a geometry-optimized ZrTlTe4 structure, as listed in the Alexandria database.

Structure (POSCAR):
```
ZrTlTe4
1.0
0.0000 4.4942 4.4942
4.4942 0.0000 4.4942
4.4942 4.4942 0.0000
Zr Tl Te
1 1 4
Direct
0.0000 0.0000 0.0000
0.2500 0.2500 0.2500
0.1222 0.6259 0.6259
0.6259 0.1222 0.6259
0.6259 0.6259 0.1222
0.6259 0.6259 0.6259
```

DOS at the Fermi energy: 6.2 states/eV per cell

Model x:
First-principles (PBE-GGA) data for a geometry-optimized ZrTlTe4 structure, as listed in the Alexandria database.

Structure (POSCAR):
```
ZrTlTe4
1.0
5.5256 -6.1098 0.0000
5.5256 6.1098 0.0000
-4.1768 0.0000 6.1112
Zr Tl Te
2 2 8
Direct
0.0015 0.9985 0.7500
0.9985 0.0015 0.2500
0.3755 0.6245 0.7500
0.6245 0.3755 0.2500
0.0255 0.6914 0.3721
0.1867 0.3068 0.2094
0.3068 0.1867 0.7094
0.3086 0.9745 0.1279
0.6914 0.0255 0.8721
0.6932 0.8133 0.2906
0.8133 0.6932 0.7906
0.9745 0.3086 0.6279
```

DOS at the Fermi energy: 6.7 states/eV per cell

Short version: model x is the most stable of them.